The following is a GGA-PBE calculation of an optimized crystal structure of AlWI3, from the Alexandria database.

a b c (Å): 5.6749 5.6749 5.6749
angles (deg): 90.00 90.00 90.00
Site moments in Bohr magnetons follow the coordinates.
Atoms (fractional coordinates):
I 0.0000 0.5000 0.0000  0.02
Al 0.5000 0.5000 0.5000  0.02
W 0.0000 0.0000 0.0000  2.67
I 0.5000 0.0000 0.0000  0.04
I 0.0000 0.0000 0.5000  0.04

The calculation puts the energy above the most stable polymorph in this dataset at 0.0 meV per atom. The uncorrected formation energy is 673 meV/atom. The calculation puts the density of states at the Fermi level at 1.69 states/eV/cell. The calculation puts the spin magnetization at 3.83 μB/f.u.

The following is a GGA-PBE calculation of an optimized crystal structure of Al2WI2, from the Alexandria database.

a b c (Å): 5.9596 5.9596 5.8170
angles (deg): 59.19 59.19 90.00
Site moments in Bohr magnetons follow the coordinates.
Atoms (fractional coordinates):
Al 0.6644 0.6644 0.6712  -0.04
Al 0.3356 0.3356 0.3288  -0.04
I 0.7500 0.2500 0.5000  0.04
I 0.2500 0.7500 0.5000  0.04
W 0.0000 0.0000 0.0000  2.90

The calculation puts the energy above the most stable polymorph in this dataset at 143.3 meV per atom. The uncorrected formation energy is 1095 meV/atom. The calculation puts the density of states at the Fermi level at 2.02 states/eV/cell. The calculation puts the spin magnetization at 4.12 μB/f.u.

The following is a GGA-PBE calculation of an optimized crystal structure of AlWI3, from the Alexandria database.

a b c (Å): 5.5802 5.5802 5.5802
angles (deg): 90.00 90.00 90.00
Site moments in Bohr magnetons follow the coordinates.
Atoms (fractional coordinates):
W 0.5000 0.5000 0.5000  3.60
Al 0.0000 0.0000 0.0000  -0.01
I 0.0000 0.5000 0.0000  0.01
I 0.5000 0.0000 0.0000  0.01
I 0.0000 0.0000 0.5000  0.01

The calculation puts the energy above the most stable polymorph in this dataset at 471.6 meV per atom. The uncorrected formation energy is 1145 meV/atom. The calculation puts the density of states at the Fermi level at 12.26 states/eV/cell. The calculation puts the spin magnetization at 5.20 μB/f.u.

The following is a GGA-PBE calculation of an optimized crystal structure of Al2WI, from the Alexandria database.

a b c (Å): 4.7372 4.7372 4.7372
angles (deg): 60.00 60.00 60.00
Atoms (fractional coordinates):
Al 0.2500 0.2500 0.2500
I 0.0000 0.0000 0.0000
W 0.5000 0.5000 0.5000
Al 0.7500 0.7500 0.7500

The calculation puts the energy above the most stable polymorph in this dataset at 0.0 meV per atom. The uncorrected formation energy is 1071 meV/atom. The calculation puts the density of states at the Fermi level at 2.84 states/eV/cell. The calculation puts the spin magnetization at 0.00 μB/f.u.

The following is a GGA-PBE calculation of an optimized crystal structure of Y2AlI, from the Alexandria database.

a b c (Å): 6.4463 6.4463 8.8854
angles (deg): 68.73 68.73 90.00
Atoms (fractional coordinates):
Y 0.1666 0.6250 0.2500
I 0.0000 0.0000 0.0000
Y 0.3750 0.4166 0.7500
Al 0.2500 0.7500 0.5000
I 0.7500 0.2500 0.5000
Y 0.8750 0.8334 0.7500
Al 0.5000 0.5000 0.0000
Y 0.5834 0.1250 0.2500

The calculation puts the energy above the most stable polymorph in this dataset at 378.7 meV per atom. The uncorrected formation energy is 69 meV/atom. The calculation puts the density of states at the Fermi level at 2.95 states/eV/cell. The calculation puts the spin magnetization at 0.00 μB/f.u.

The following is a GGA-PBE calculation of an optimized crystal structure of Y2Al2I, from the Alexandria database.

a b c (Å): 8.3386 8.3386 3.9692
angles (deg): 90.00 90.00 90.00
Atoms (fractional coordinates):
Y 0.8196 0.6804 0.0000
I 0.0000 0.0000 0.0000
Y 0.3196 0.8196 0.0000
Al 0.6093 0.8907 0.5000
Al 0.3907 0.1093 0.5000
Al 0.8907 0.3907 0.5000
Y 0.1804 0.3196 0.0000
Al 0.1093 0.6093 0.5000
Y 0.6804 0.1804 0.0000
I 0.5000 0.5000 0.0000

The uncorrected formation energy is -377 meV/atom. The calculation puts the density of states at the Fermi level at 6.00 states/eV/cell. The calculation puts the spin magnetization at 0.00 μB/f.u.